# MnCdGaO4

An optimized crystal structure of MnCdGaO4 (PBE+U, Alexandria via LeMat-Bulk).

Cell: 5.6106 5.6106 6.4610 Å, 90.00 90.00 113.35°
Closest atoms and distances in Å follow each position.
Positions (direct):
O  0.2228  0.2044  0.7500  1 Mn 1.92, 1 Ga 1.94
Cd  0.5000  0.5000  0.5000  6 O 2.26-2.39
O  0.7772  0.7956  0.2500  1 Mn 1.92, 1 Ga 1.94
O  0.2044  0.2228  0.2500  1 Mn 1.92, 1 Ga 1.94
O  0.7956  0.7772  0.7500  1 Mn 1.92, 1 Ga 1.94
Ga  0.1607  0.8393  0.7500  4 O 1.84-1.94
Cd  0.5000  0.5000  0.0000  6 O 2.26-2.39
O  0.7410  0.2590  0.4966  1 Ga 1.84, 1 Mn 1.98
Mn  0.1398  0.8602  0.2500  4 O 1.92-1.98
Ga  0.8393  0.1607  0.2500  4 O 1.84-1.94
O  0.7410  0.2590  0.0034  1 Ga 1.84, 1 Mn 1.98
O  0.2590  0.7410  0.5034  1 Ga 1.84, 1 Mn 1.98
Mn  0.8602  0.1398  0.7500  4 O 1.92-1.98
O  0.2590  0.7410  0.9966  1 Ga 1.84, 1 Mn 1.98

Computed properties:
spin magnetization	8.0	Bohr magnetons per cell
space group	Cmcm (63)
energy	-40.75	eV per formula unit